VASP calculation (GGA-PBE) on a relaxed structure of Pm3Y8.

Output
Density of states at the Fermi level: 19.33 states/eV per cell
ΔH_f (0 K): 6.04 eV per formula unit
Magnetization: 1.49 μB/f.u.
Total DFT energy (no corrections): -59.92 eV/cell
ΔE to the lowest computed polymorph: 0.4352 eV/atom

Cell: 7.175 7.175 7.175 Å, 86.44 86.44 86.44°
Element x y z (fractional)
Pm  0.000  0.500  0.500
Pm  0.500  0.000  0.500
Pm  0.500  0.500  0.000
Y  0.111  0.696  0.857
Y  0.143  0.889  0.304
Y  0.304  0.143  0.889
Y  0.374  0.374  0.374
Y  0.626  0.626  0.626
Y  0.696  0.857  0.111
Y  0.857  0.111  0.696
Y  0.889  0.304  0.143